1.
# PBE PrSmIn2Pd4, relaxed
# Total energy: -5.25 eV/atom
data_PrSmIn2Pd4
_chemical_formula_sum 'Pr1 Sm1 In2 Pd4'
_symmetry_space_group_name_H-M 'P -6 m 2'
_symmetry_Int_Tables_number 187
_symmetry_space_group_name_Hall 'P -6 2'
_cell_length_a 4.6583
_cell_length_b 4.6583
_cell_length_c 9.1491
_cell_angle_alpha 90.00
_cell_angle_beta 90.00
_cell_angle_gamma 120.00
loop_
_atom_site_label
_atom_site_type_symbol
_atom_site_fract_x
_atom_site_fract_y
_atom_site_fract_z
Pr1 Pr 0.0000 0.0000 0.0000
Sm1 Sm 0.3333 0.6667 0.5000
In1 In 0.6667 0.3333 0.2534
Pd1 Pd 0.0000 0.0000 0.3376
Pd2 Pd 0.3333 0.6667 0.1700

2.
# PBE PrSmIn4Pd2, relaxed
# Total energy: -4.50 eV/atom
data_PrSmIn4Pd2
_chemical_formula_sum 'Pr1 Sm1 In4 Pd2'
_symmetry_space_group_name_H-M 'P 1 m 1'
_symmetry_Int_Tables_number 6
_cell_length_a 4.6254
_cell_length_b 7.4751
_cell_length_c 5.8597
_cell_angle_alpha 90.00
_cell_angle_beta 113.02
_cell_angle_gamma 90.00
loop_
_symmetry_equiv_pos_as_xyz
'x,y,z'
'x,-y,z'
loop_
_atom_site_label
_atom_site_type_symbol
_atom_site_fract_x
_atom_site_fract_y
_atom_site_fract_z
Pr1 Pr 0.0000 0.0000 0.0000
Sm1 Sm 0.1539 0.5000 0.3062
In1 In 0.4397 0.3002 0.8773
In2 In 0.7139 0.2008 0.4281
Pd1 Pd 0.2823 0.0000 0.5666
Pd2 Pd 0.8715 0.5000 0.7393

3.
# PBE Pr2InSnPd4, relaxed
# Total energy: -5.43 eV/atom
data_Pr2InSnPd4
_chemical_formula_sum 'Pr2 In1 Sn1 Pd4'
_symmetry_space_group_name_H-M 'P -3 m 1'
_symmetry_Int_Tables_number 164
_symmetry_space_group_name_Hall '-P 3 2"'
_cell_length_a 4.6573
_cell_length_b 4.6573
_cell_length_c 9.2631
_cell_angle_alpha 90.00
_cell_angle_beta 90.00
_cell_angle_gamma 120.00
loop_
_atom_site_label
_atom_site_type_symbol
_atom_site_fract_x
_atom_site_fract_y
_atom_site_fract_z
Pr1 Pr 0.3333 0.6667 0.2494
In1 In 0.0000 0.0000 0.5000
Sn1 Sn 0.0000 0.0000 0.0000
Pd1 Pd 0.3333 0.6667 0.5813
Pd2 Pd 0.3333 0.6667 0.9164

4.
# PBE SrPrIn2Pd4, relaxed
# Total energy: -4.79 eV/atom
data_SrPrIn2Pd4
_chemical_formula_sum 'Sr1 Pr1 In2 Pd4'
_symmetry_space_group_name_H-M 'P -6 m 2'
_symmetry_Int_Tables_number 187
_symmetry_space_group_name_Hall 'P -6 2'
_cell_length_a 4.6603
_cell_length_b 4.6603
_cell_length_c 9.5404
_cell_angle_alpha 90.00
_cell_angle_beta 90.00
_cell_angle_gamma 120.00
loop_
_atom_site_label
_atom_site_type_symbol
_atom_site_fract_x
_atom_site_fract_y
_atom_site_fract_z
Sr1 Sr 0.0000 0.0000 0.0000
Pr1 Pr 0.3333 0.6667 0.5000
In1 In 0.6667 0.3333 0.2557
Pd1 Pd 0.0000 0.0000 0.3361
Pd2 Pd 0.3333 0.6667 0.1846

5.
# PBE Pr2TlInPd4, relaxed
# Total energy: -5.12 eV/atom
data_Pr2TlInPd4
_chemical_formula_sum 'Pr2 Tl1 In1 Pd4'
_symmetry_space_group_name_H-M 'P -3 m 1'
_symmetry_Int_Tables_number 164
_symmetry_space_group_name_Hall '-P 3 2"'
_cell_length_a 4.6928
_cell_length_b 4.6928
_cell_length_c 9.1997
_cell_angle_alpha 90.00
_cell_angle_beta 90.00
_cell_angle_gamma 120.00
loop_
_atom_site_label
_atom_site_type_symbol
_atom_site_fract_x
_atom_site_fract_y
_atom_site_fract_z
Pr1 Pr 0.3333 0.6667 0.2502
Tl1 Tl 0.0000 0.0000 0.0000
In1 In 0.0000 0.0000 0.5000
Pd1 Pd 0.3333 0.6667 0.5831
Pd2 Pd 0.3333 0.6667 0.9108

6.
# PBE PrTmIn2Pd4, relaxed
# Total energy: -5.23 eV/atom
data_PrTmIn2Pd4
_chemical_formula_sum 'Pr1 Tm1 In2 Pd4'
_symmetry_space_group_name_H-M 'P -6 m 2'
_symmetry_Int_Tables_number 187
_symmetry_space_group_name_Hall 'P -6 2'
_cell_length_a 4.6150
_cell_length_b 4.6150
_cell_length_c 9.0472
_cell_angle_alpha 90.00
_cell_angle_beta 90.00
_cell_angle_gamma 120.00
loop_
_atom_site_label
_atom_site_type_symbol
_atom_site_fract_x
_atom_site_fract_y
_atom_site_fract_z
Pr1 Pr 0.0000 0.0000 0.0000
Tm1 Tm 0.6667 0.3333 0.5000
In1 In 0.3333 0.6667 0.2603
Pd1 Pd 0.0000 0.0000 0.3419
Pd2 Pd 0.6667 0.3333 0.1744

7.
# PBE PrYIn2Pd4, relaxed
# Total energy: -5.48 eV/atom
data_PrYIn2Pd4
_chemical_formula_sum 'Pr1 Y1 In2 Pd4'
_symmetry_space_group_name_H-M 'P -6 m 2'
_symmetry_Int_Tables_number 187
_symmetry_space_group_name_Hall 'P -6 2'
_cell_length_a 4.6300
_cell_length_b 4.6300
_cell_length_c 9.0849
_cell_angle_alpha 90.00
_cell_angle_beta 90.00
_cell_angle_gamma 120.00
loop_
_atom_site_label
_atom_site_type_symbol
_atom_site_fract_x
_atom_site_fract_y
_atom_site_fract_z
Pr1 Pr 0.0000 0.0000 0.0000
Y1 Y 0.3333 0.6667 0.5000
In1 In 0.6667 0.3333 0.2559
Pd1 Pd 0.0000 0.0000 0.3403
Pd2 Pd 0.3333 0.6667 0.1715

8.
# PBE InPd2Pt2, relaxed
# Total energy: -5.15 eV/atom
# E above lowest polymorph: 203 meV/atom
data_InPd2Pt2
_chemical_formula_sum 'In2 Pd4 Pt4'
_symmetry_space_group_name_H-M 'P 4/m b m'
_symmetry_Int_Tables_number 127
_symmetry_space_group_name_Hall '-P 4 2ab'
_cell_length_a 6.9606
_cell_length_b 6.9606
_cell_length_c 3.6404
_cell_angle_alpha 90.00
_cell_angle_beta 90.00
_cell_angle_gamma 90.00
loop_
_atom_site_label
_atom_site_type_symbol
_atom_site_fract_x
_atom_site_fract_y
_atom_site_fract_z
In1 In 0.0000 0.0000 0.0000
Pd1 Pd 0.1610 0.3390 0.5000
Pt1 Pt 0.1361 0.6361 0.0000

9.
# PBE InPd2Pt2, relaxed
# Total energy: -5.35 eV/atom
# E above lowest polymorph: 0 meV/atom
data_InPd2Pt2
_chemical_formula_sum 'In4 Pd8 Pt8'
_symmetry_space_group_name_H-M 'C 1 2/c 1'
_symmetry_Int_Tables_number 15
_cell_length_a 9.7713
_cell_length_b 4.9199
_cell_length_c 7.4081
_cell_angle_alpha 90.00
_cell_angle_beta 113.50
_cell_angle_gamma 90.00
loop_
_symmetry_equiv_pos_as_xyz
'x,y,z'
'-x,-y,-z'
'-x,y,-z+1/2'
'x,-y,z+1/2'
'x+1/2,y+1/2,z'
'-x+1/2,-y+1/2,-z'
'-x+1/2,y+1/2,-z+1/2'
'x+1/2,-y+1/2,z+1/2'
loop_
_atom_site_label
_atom_site_type_symbol
_atom_site_fract_x
_atom_site_fract_y
_atom_site_fract_z
In1 In 0.0000 0.1681 0.2500
Pd1 Pd 0.1993 0.1681 0.6515
Pt1 Pt 0.1024 0.3341 0.9502

10.
# PBE InPd2Pt2, relaxed
# Total energy: -5.03 eV/atom
# E above lowest polymorph: 318 meV/atom
data_InPd2Pt2
_chemical_formula_sum 'In2 Pd4 Pt4'
_symmetry_space_group_name_H-M 'I 4/m m m'
_symmetry_Int_Tables_number 139
_symmetry_space_group_name_Hall '-I 4 2'
_cell_length_a 3.7151
_cell_length_b 3.7151
_cell_length_c 12.9697
_cell_angle_alpha 90.00
_cell_angle_beta 90.00
_cell_angle_gamma 90.00
loop_
_atom_site_label
_atom_site_type_symbol
_atom_site_fract_x
_atom_site_fract_y
_atom_site_fract_z
In1 In 0.0000 0.0000 0.0000
Pd1 Pd 0.0000 0.0000 0.4012
Pt1 Pt 0.0000 0.5000 0.2500

11.
# PBE In2PdPt5, relaxed
# Total energy: -5.50 eV/atom
data_In2PdPt5
_chemical_formula_sum 'In4 Pd2 Pt10'
_symmetry_space_group_name_H-M 'P b a m'
_symmetry_Int_Tables_number 55
_cell_length_a 5.7290
_cell_length_b 11.4641
_cell_length_c 4.0412
_cell_angle_alpha 90.00
_cell_angle_beta 90.00
_cell_angle_gamma 90.00
loop_
_symmetry_equiv_pos_as_xyz
'x,y,z'
'-x,-y,-z'
'-x,-y,z'
'x,y,-z'
'x+1/2,-y+1/2,-z'
'-x+1/2,y+1/2,z'
'-x+1/2,y+1/2,-z'
'x+1/2,-y+1/2,z'
loop_
_atom_site_label
_atom_site_type_symbol
_atom_site_fract_x
_atom_site_fract_y
_atom_site_fract_z
In1 In 0.2413 0.1228 0.0000
Pd1 Pd 0.0000 0.0000 0.5000
Pt1 Pt 0.0000 0.5000 0.5000
Pt2 Pt 0.0097 0.7491 0.5000
Pt3 Pt 0.2425 0.3730 0.0000

12.
# PBE InPd2Pt2, relaxed
# Total energy: -5.01 eV/atom
# E above lowest polymorph: 336 meV/atom
data_InPd2Pt2
_chemical_formula_sum 'In2 Pd4 Pt4'
_symmetry_space_group_name_H-M 'I 4/m m m'
_symmetry_Int_Tables_number 139
_symmetry_space_group_name_Hall '-I 4 2'
_cell_length_a 3.7577
_cell_length_b 3.7577
_cell_length_c 12.7017
_cell_angle_alpha 90.00
_cell_angle_beta 90.00
_cell_angle_gamma 90.00
loop_
_atom_site_label
_atom_site_type_symbol
_atom_site_fract_x
_atom_site_fract_y
_atom_site_fract_z
In1 In 0.0000 0.0000 0.0000
Pd1 Pd 0.0000 0.5000 0.2500
Pt1 Pt 0.0000 0.0000 0.4009

> total energy of number 3 (Pr2InSnPd4)?

-5.43 eV/atom